[1]
# MgFeGe2 PBE-GGA relaxed
data_MgFeGe2
_cell_length_a 6.440
_cell_length_b 6.440
_cell_length_c 6.440
_cell_angle_alpha 90.00
_cell_angle_beta 90.00
_cell_angle_gamma 90.00
_symmetry_space_group_name_H-M 'F -4 3 m'
_symmetry_Int_Tables_number 216
_symmetry_space_group_name_Hall 'F -4 2 3'
loop_
_atom_site_label
_atom_site_type_symbol
_atom_site_fract_x
_atom_site_fract_y
_atom_site_fract_z
Mg1 Mg 0.000 0.000 0.000
Fe1 Fe 0.250 0.250 0.250
Ge1 Ge 0.000 0.000 0.500
Ge2 Ge 0.250 0.250 0.750
# crystal system = cubic

[2]
# MgFe2Ge PBE-GGA relaxed
data_MgFe2Ge
_cell_length_a 5.979
_cell_length_b 5.979
_cell_length_c 5.979
_cell_angle_alpha 90.00
_cell_angle_beta 90.00
_cell_angle_gamma 90.00
_symmetry_space_group_name_H-M 'F -4 3 m'
_symmetry_Int_Tables_number 216
_symmetry_space_group_name_Hall 'F -4 2 3'
loop_
_atom_site_label
_atom_site_type_symbol
_atom_site_fract_x
_atom_site_fract_y
_atom_site_fract_z
Mg1 Mg 0.000 0.000 0.000
Fe1 Fe 0.000 0.000 0.500
Fe2 Fe 0.250 0.250 0.250
Ge1 Ge 0.250 0.250 0.750
# crystal system = cubic

[3]
# MgFe2Ge PBE-GGA relaxed
data_MgFe2Ge
_cell_length_a 5.921
_cell_length_b 5.921
_cell_length_c 5.921
_cell_angle_alpha 90.00
_cell_angle_beta 90.00
_cell_angle_gamma 90.00
_symmetry_space_group_name_H-M 'P m -3 m'
_symmetry_Int_Tables_number 221
_symmetry_space_group_name_Hall '-P 4 2 3'
loop_
_atom_site_label
_atom_site_type_symbol
_atom_site_fract_x
_atom_site_fract_y
_atom_site_fract_z
Mg1 Mg 0.000 0.000 0.000
Mg2 Mg 0.000 0.000 0.500
Fe1 Fe 0.269 0.269 0.269
Ge1 Ge 0.000 0.500 0.500
Ge2 Ge 0.500 0.500 0.500
# crystal system = cubic

[4]
# MgFeGeMo PBE-GGA relaxed
data_MgFeGeMo
_cell_length_a 6.156
_cell_length_b 6.156
_cell_length_c 6.156
_cell_angle_alpha 90.00
_cell_angle_beta 90.00
_cell_angle_gamma 90.00
_symmetry_space_group_name_H-M 'F -4 3 m'
_symmetry_Int_Tables_number 216
_symmetry_space_group_name_Hall 'F -4 2 3'
loop_
_atom_site_label
_atom_site_type_symbol
_atom_site_fract_x
_atom_site_fract_y
_atom_site_fract_z
Mg1 Mg 0.000 0.000 0.000
Fe1 Fe 0.250 0.250 0.750
Ge1 Ge 0.000 0.000 0.500
Mo1 Mo 0.250 0.250 0.250
# energy above the most stable polymorph in this dataset = 0.000 eV per atom
# crystal system = cubic

[5]
# MgFeReGe PBE-GGA relaxed
data_MgFeReGe
_cell_length_a 6.089
_cell_length_b 6.089
_cell_length_c 6.089
_cell_angle_alpha 90.00
_cell_angle_beta 90.00
_cell_angle_gamma 90.00
_symmetry_space_group_name_H-M 'F -4 3 m'
_symmetry_Int_Tables_number 216
_symmetry_space_group_name_Hall 'F -4 2 3'
loop_
_atom_site_label
_atom_site_type_symbol
_atom_site_fract_x
_atom_site_fract_y
_atom_site_fract_z
Mg1 Mg 0.000 0.000 0.000
Fe1 Fe 0.250 0.250 0.750
Re1 Re 0.250 0.250 0.250
Ge1 Ge 0.000 0.000 0.500
# energy above the most stable polymorph in this dataset = 0.000 eV per atom
# crystal system = cubic

[6]
# MgFeGeW PBE-GGA relaxed
data_MgFeGeW
_cell_length_a 6.135
_cell_length_b 6.135
_cell_length_c 6.135
_cell_angle_alpha 90.00
_cell_angle_beta 90.00
_cell_angle_gamma 90.00
_symmetry_space_group_name_H-M 'F -4 3 m'
_symmetry_Int_Tables_number 216
_symmetry_space_group_name_Hall 'F -4 2 3'
loop_
_atom_site_label
_atom_site_type_symbol
_atom_site_fract_x
_atom_site_fract_y
_atom_site_fract_z
Mg1 Mg 0.000 0.000 0.000
Fe1 Fe 0.000 0.000 0.500
Ge1 Ge 0.250 0.250 0.250
W1 W 0.250 0.250 0.750
# energy above the most stable polymorph in this dataset = 0.000 eV per atom
# crystal system = cubic

[7]
# MgFeGeW PBE-GGA relaxed
data_MgFeGeW
_cell_length_a 6.172
_cell_length_b 6.172
_cell_length_c 6.172
_cell_angle_alpha 90.00
_cell_angle_beta 90.00
_cell_angle_gamma 90.00
_symmetry_space_group_name_H-M 'F -4 3 m'
_symmetry_Int_Tables_number 216
_symmetry_space_group_name_Hall 'F -4 2 3'
loop_
_atom_site_label
_atom_site_type_symbol
_atom_site_fract_x
_atom_site_fract_y
_atom_site_fract_z
Mg1 Mg 0.000 0.000 0.000
Fe1 Fe 0.250 0.250 0.750
Ge1 Ge 0.000 0.000 0.500
W1 W 0.250 0.250 0.250
# energy above the most stable polymorph in this dataset = 0.012 eV per atom
# crystal system = cubic

[8]
# MgZrFeGe PBE-GGA relaxed
data_MgZrFeGe
_cell_length_a 6.473
_cell_length_b 6.473
_cell_length_c 6.473
_cell_angle_alpha 90.00
_cell_angle_beta 90.00
_cell_angle_gamma 90.00
_symmetry_space_group_name_H-M 'F -4 3 m'
_symmetry_Int_Tables_number 216
_symmetry_space_group_name_Hall 'F -4 2 3'
loop_
_atom_site_label
_atom_site_type_symbol
_atom_site_fract_x
_atom_site_fract_y
_atom_site_fract_z
Mg1 Mg 0.000 0.000 0.000
Zr1 Zr 0.000 0.000 0.500
Fe1 Fe 0.250 0.250 0.750
Ge1 Ge 0.250 0.250 0.250
# energy above the most stable polymorph in this dataset = 0.000 eV per atom
# crystal system = cubic

[9]
# MgZrFeGe PBE-GGA relaxed
data_MgZrFeGe
_cell_length_a 6.441
_cell_length_b 6.441
_cell_length_c 6.441
_cell_angle_alpha 90.00
_cell_angle_beta 90.00
_cell_angle_gamma 90.00
_symmetry_space_group_name_H-M 'F -4 3 m'
_symmetry_Int_Tables_number 216
_symmetry_space_group_name_Hall 'F -4 2 3'
loop_
_atom_site_label
_atom_site_type_symbol
_atom_site_fract_x
_atom_site_fract_y
_atom_site_fract_z
Mg1 Mg 0.000 0.000 0.000
Zr1 Zr 0.250 0.250 0.250
Fe1 Fe 0.250 0.250 0.750
Ge1 Ge 0.000 0.000 0.500
# energy above the most stable polymorph in this dataset = 0.198 eV per atom
# crystal system = cubic

[10]
# MgZrFeGe PBE-GGA relaxed
data_MgZrFeGe
_cell_length_a 6.267
_cell_length_b 6.267
_cell_length_c 6.267
_cell_angle_alpha 90.00
_cell_angle_beta 90.00
_cell_angle_gamma 90.00
_symmetry_space_group_name_H-M 'F -4 3 m'
_symmetry_Int_Tables_number 216
_symmetry_space_group_name_Hall 'F -4 2 3'
loop_
_atom_site_label
_atom_site_type_symbol
_atom_site_fract_x
_atom_site_fract_y
_atom_site_fract_z
Mg1 Mg 0.000 0.000 0.000
Zr1 Zr 0.250 0.250 0.750
Fe1 Fe 0.000 0.000 0.500
Ge1 Ge 0.250 0.250 0.250
# energy above the most stable polymorph in this dataset = 0.009 eV per atom
# crystal system = cubic

[11]
# Fe2GeMo PBE-GGA relaxed
data_Fe2GeMo
_cell_length_a 5.950
_cell_length_b 5.950
_cell_length_c 5.950
_cell_angle_alpha 90.00
_cell_angle_beta 90.00
_cell_angle_gamma 90.00
_symmetry_space_group_name_H-M 'F -4 3 m'
_symmetry_Int_Tables_number 216
_symmetry_space_group_name_Hall 'F -4 2 3'
loop_
_atom_site_label
_atom_site_type_symbol
_atom_site_fract_x
_atom_site_fract_y
_atom_site_fract_z
Fe1 Fe 0.000 0.000 0.000
Fe2 Fe 0.250 0.250 0.250
Ge1 Ge 0.000 0.000 0.500
Mo1 Mo 0.250 0.250 0.750
# crystal system = cubic

[12]
# Fe2GeMo PBE-GGA relaxed
data_Fe2GeMo
_cell_length_a 2.733
_cell_length_b 4.756
_cell_length_c 17.975
_cell_angle_alpha 90.00
_cell_angle_beta 90.00
_cell_angle_gamma 90.00
_symmetry_space_group_name_H-M 'C m c m'
_symmetry_Int_Tables_number 63
_symmetry_space_group_name_Hall '-C 2c 2'
loop_
_atom_site_label
_atom_site_type_symbol
_atom_site_fract_x
_atom_site_fract_y
_atom_site_fract_z
Fe1 Fe 0.000 0.166 0.118
Ge1 Ge 0.000 0.172 0.250
Mo1 Mo 0.000 0.500 0.000
# crystal system = orthorhombic

The DFT total energy results, record by record, are as follows: -4.45; -5.62; -5.59; -6.03; -6.37; -6.36; -6.35; -5.88; -5.68; -5.87; -7.99; -7.58 eV/atom.